Entry 1:
VASP calculation (PBE) on KNb2ReTe after structural relaxation.

Computed properties:
V: 135.0 Å³ per cell
M_tot: 1.30 μB per cell
Formation energy (no corrections): 1773 meV/atom

abc: 5.202 5.202 4.989
angles: 90.00 90.00 90.00
Fractional positions:
K (0.000, 0.000, 0.000)
Nb (0.000, 0.500, 0.500)
Nb (0.500, 0.000, 0.500)
Re (0.500, 0.500, 0.000)
Te (0.500, 0.500, 0.500)


Entry 2:
VASP calculation (PBE) on Er4SbPt after structural relaxation.

Computed properties:
V: 349.8 Å³ per cell
M_tot: 0.00 μB per cell
Formation energy (no corrections): -669 meV/atom

abc: 8.404 8.404 7.145
angles: 105.91 105.91 46.58
Fractional positions:
Er (0.003, 0.173, 0.465)
Er (0.173, 0.003, 0.965)
Er (0.263, 0.410, 0.855)
Er (0.410, 0.263, 0.355)
Er (0.590, 0.737, 0.645)
Er (0.737, 0.590, 0.145)
Er (0.827, 0.997, 0.035)
Er (0.997, 0.827, 0.535)
Sb (0.334, 0.666, 0.250)
Sb (0.666, 0.334, 0.750)
Pt (0.000, 0.500, 0.500)
Pt (0.500, 0.000, 0.000)


Entry 3:
VASP calculation (PBE) on Sm6ScZn2 after structural relaxation.

Computed properties:
V: 254.6 Å³ per cell
M_tot: 0.00 μB per cell
Energy of formation from the pure elements: -1.06 eV/f.u.

abc: 6.525 6.525 11.828
angles: 108.46 108.46 32.37
Fractional positions:
Sm (0.030, 0.030, 0.324)
Sm (0.312, 0.312, 0.406)
Sm (0.314, 0.314, 0.122)
Sm (0.686, 0.686, 0.878)
Sm (0.688, 0.688, 0.594)
Sm (0.970, 0.970, 0.676)
Sc (0.000, 0.000, 0.000)
Zn (0.361, 0.361, 0.818)
Zn (0.639, 0.639, 0.182)


Entry 4:
VASP calculation (PBE) on PuAgHg2 after structural relaxation.

Computed properties:
V: 90.3 Å³ per cell
M_tot: 6.01 μB per cell
Energy of formation from the pure elements: -0.24 eV/f.u.

abc: 3.213 3.213 8.746
angles: 90.00 90.00 90.00
Fractional positions:
Pu (0.000, 0.000, 0.000)
Ag (0.000, 0.000, 0.500)
Hg (0.500, 0.500, 0.271)
Hg (0.500, 0.500, 0.729)


Entry 5:
VASP calculation (PBE) on Ac3Al3Cu8 after structural relaxation.

Computed properties:
V: 271.8 Å³ per cell
M_tot: 0.00 μB per cell
Energy of formation from the pure elements: -3.00 eV/f.u.

abc: 8.513 8.513 8.513
angles: 150.43 115.12 72.89
Fractional positions:
Ac (0.000, 0.000, 0.000)
Ac (0.290, 0.290, 0.000)
Ac (0.710, 0.710, 0.000)
Al (0.307, 0.500, 0.807)
Al (0.500, 0.000, 0.500)
Al (0.693, 0.500, 0.193)
Cu (0.006, 0.653, 0.353)
Cu (0.167, 0.880, 0.287)
Cu (0.300, 0.653, 0.647)
Cu (0.407, 0.120, 0.287)
Cu (0.593, 0.880, 0.713)
Cu (0.700, 0.347, 0.353)
Cu (0.833, 0.120, 0.713)
Cu (0.994, 0.347, 0.647)


Entry 6:
VASP calculation (PBE) on NaSr2CaHg after structural relaxation.

Computed properties:
V: 240.0 Å³ per cell
M_tot: 0.00 μB per cell
Energy of formation from the pure elements: -0.60 eV/f.u.

abc: 6.309 6.309 6.030
angles: 90.00 90.00 90.00
Fractional positions:
Na (0.000, 0.000, 0.000)
Sr (0.000, 0.500, 0.500)
Sr (0.500, 0.000, 0.500)
Ca (0.500, 0.500, 0.000)
Hg (0.500, 0.500, 0.500)


Entry 7:
VASP calculation (PBE) on K3LiS2O8 after structural relaxation.

Computed properties:
V: 202.2 Å³ per cell
M_tot: 0.00 μB per cell
Formation energy (no corrections): -1859 meV/atom

abc: 5.630 5.630 7.366
angles: 90.00 90.00 120.00
Fractional positions:
K (0.000, 0.000, 0.000)
K (0.333, 0.667, 0.683)
K (0.667, 0.333, 0.317)
Li (0.000, 0.000, 0.500)
S (0.333, 0.667, 0.246)
S (0.667, 0.333, 0.754)
O (0.189, 0.377, 0.317)
O (0.189, 0.811, 0.317)
O (0.333, 0.667, 0.046)
O (0.377, 0.189, 0.683)
O (0.623, 0.811, 0.317)
O (0.667, 0.333, 0.954)
O (0.811, 0.189, 0.683)
O (0.811, 0.623, 0.683)


Entry 8:
VASP calculation (PBE) on LiTe2Se2 after structural relaxation.

Computed properties:
V: 295.5 Å³ per cell
M_tot: 0.00 μB per cell
Formation energy (no corrections): -131 meV/atom

abc: 8.152 8.152 4.447
angles: 90.00 90.00 90.00
Fractional positions:
Li (0.000, 0.000, 0.000)
Li (0.500, 0.500, 0.000)
Te (0.199, 0.301, 0.000)
Te (0.301, 0.801, 0.000)
Te (0.699, 0.199, 0.000)
Te (0.801, 0.699, 0.000)
Se (0.172, 0.672, 0.500)
Se (0.328, 0.172, 0.500)
Se (0.672, 0.828, 0.500)
Se (0.828, 0.328, 0.500)


Entry 9:
VASP calculation (PBE) on TbHo3Sb3 after structural relaxation.

Computed properties:
V: 771.5 Å³ per cell
M_tot: 0.00 μB per cell
Formation energy (no corrections): -982 meV/atom

abc: 9.172 9.172 9.172
angles: 90.00 90.00 90.00
Fractional positions:
Tb (0.072, 0.428, 0.572)
Tb (0.428, 0.572, 0.072)
Tb (0.572, 0.072, 0.428)
Tb (0.928, 0.928, 0.928)
Ho (0.073, 0.573, 0.927)
Ho (0.178, 0.178, 0.178)
Ho (0.178, 0.822, 0.322)
Ho (0.322, 0.178, 0.822)
Ho (0.322, 0.822, 0.678)
Ho (0.427, 0.427, 0.427)
Ho (0.573, 0.927, 0.073)
Ho (0.678, 0.322, 0.822)
Ho (0.678, 0.678, 0.678)
Ho (0.822, 0.322, 0.178)
Ho (0.822, 0.678, 0.322)
Ho (0.927, 0.073, 0.573)
Sb (0.001, 0.252, 0.876)
Sb (0.124, 0.501, 0.248)
Sb (0.248, 0.124, 0.501)
Sb (0.252, 0.876, 0.001)
Sb (0.376, 0.499, 0.748)
Sb (0.499, 0.748, 0.376)
Sb (0.501, 0.248, 0.124)
Sb (0.624, 0.999, 0.752)
Sb (0.748, 0.376, 0.499)
Sb (0.752, 0.624, 0.999)
Sb (0.876, 0.001, 0.252)
Sb (0.999, 0.752, 0.624)


Entry 10:
VASP calculation (PBE) on Dy11Tm9Sc4 after structural relaxation.

Computed properties:
V: 720.1 Å³ per cell
M_tot: 0.01 μB per cell
Energy of formation from the pure elements: 1.05 eV/f.u.

abc: 14.874 14.874 3.538
angles: 90.00 90.00 113.07
Fractional positions:
Dy (0.000, 0.000, 0.000)
Dy (0.046, 0.407, 0.000)
Dy (0.160, 0.840, 0.000)
Dy (0.297, 0.297, 0.000)
Dy (0.370, 0.630, 0.000)
Dy (0.407, 0.046, 0.000)
Dy (0.593, 0.954, 0.000)
Dy (0.630, 0.370, 0.000)
Dy (0.703, 0.703, 0.000)
Dy (0.840, 0.160, 0.000)
Dy (0.954, 0.593, 0.000)
Tm (0.073, 0.217, 0.500)
Tm (0.166, 0.629, 0.500)
Tm (0.217, 0.073, 0.500)
Tm (0.371, 0.834, 0.500)
Tm (0.500, 0.500, 0.500)
Tm (0.629, 0.166, 0.500)
Tm (0.783, 0.927, 0.500)
Tm (0.834, 0.371, 0.500)
Tm (0.927, 0.783, 0.500)
Sc (0.242, 0.446, 0.500)
Sc (0.446, 0.242, 0.500)
Sc (0.554, 0.758, 0.500)
Sc (0.758, 0.554, 0.500)


Entry 11:
VASP calculation (PBE) on Ac2Bi3 after structural relaxation.

Computed properties:
V: 205.8 Å³ per cell
M_tot: 0.00 μB per cell
Energy of formation from the pure elements: -2.92 eV/f.u.

abc: 5.006 5.006 9.480
angles: 90.00 90.00 120.00
Fractional positions:
Ac (0.333, 0.667, 0.303)
Ac (0.667, 0.333, 0.697)
Bi (0.000, 0.000, 0.500)
Bi (0.333, 0.667, 0.932)
Bi (0.667, 0.333, 0.068)


Entry 12:
VASP calculation (PBE) on BiS2Cl2 after structural relaxation.

Computed properties:
V: 375.0 Å³ per cell
M_tot: 0.00 μB per cell
Formation energy (no corrections): -458 meV/atom

abc: 8.008 8.008 7.491
angles: 94.43 94.43 127.54
Fractional positions:
Bi (0.167, 0.833, 0.000)
Bi (0.833, 0.167, 0.000)
S (0.049, 0.049, 0.238)
S (0.249, 0.249, 0.078)
S (0.751, 0.751, 0.922)
S (0.951, 0.951, 0.762)
Cl (0.046, 0.491, 0.774)
Cl (0.491, 0.046, 0.774)
Cl (0.509, 0.954, 0.226)
Cl (0.954, 0.509, 0.226)


no.,final energy (eV/atom)
1,-5.59
2,-5.40
3,-4.25
4,-4.51
5,-4.24
6,-1.52
7,-5.65
8,-3.16
9,-5.37
10,-4.80
11,-4.56
12,-3.62